# Sc3SiNi

Sc3SiNi after structural relaxation (GGA-PBE, the Alexandria database).

Computed properties:
space group	Cmmm (65)
spin magnetization	0.0	Bohr magnetons per cell
electronic total energy	-5.95	eV per atom
volume	216.9	Å³/cell

Lattice parameters (Å, degrees): 10.8526 10.8526 4.2038 90.00 90.00 154.02
Fractional positions:
Sc (0.0789, 0.9211, 0.0000)
Sc (0.2613, 0.7387, 0.5000)
Sc (0.4204, 0.5796, 0.5000)
Sc (0.5796, 0.4204, 0.5000)
Sc (0.7387, 0.2613, 0.5000)
Sc (0.9211, 0.0789, 0.0000)
Si (0.3412, 0.6588, 0.0000)
Si (0.6588, 0.3412, 0.0000)
Ni (0.1379, 0.8621, 0.5000)
Ni (0.8621, 0.1379, 0.5000)